Record 1
Entry from Alexandria via LeMat-Bulk: crystalline DyU2Mn9 at its relaxed geometry (GGA-PBE).

POSCAR file:
```
DyU2Mn9
1.0
5.0825 0.0000 0.0000
0.0000 8.2686 0.0000
0.0000 0.0000 8.2686
Mn U Dy
18 4 2
direct
0.7516 0.6845 0.8155
0.5000 0.2079 0.9315
0.2484 0.8155 0.3155
0.5000 0.9315 0.7921
0.2484 0.1845 0.6845
0.7516 0.1845 0.6845
0.5000 0.5000 0.0000
0.7516 0.3155 0.1845
0.5000 0.5685 0.2921
0.2484 0.3155 0.1845
0.7516 0.8155 0.3155
0.5000 0.0685 0.2079
0.5000 0.0000 0.5000
0.5000 0.7079 0.5685
0.5000 0.2921 0.4315
0.5000 0.4315 0.7079
0.5000 0.7921 0.0685
0.2484 0.6845 0.8155
0.0000 0.8888 0.6112
0.0000 0.1112 0.3888
0.0000 0.6112 0.1112
0.0000 0.3888 0.8888
0.0000 0.0000 0.0000
0.0000 0.5000 0.5000
```

Final energy: -0.334 Ha/atom
Crystal system: tetragonal
Density: 10.83 g/cm³
DFT formation energy: 0.05 eV/atom
Volume: 14.5 Å³/atom

***

Record 2
Entry from Alexandria via LeMat-Bulk: crystalline TeAsIrN2 at its relaxed geometry (GGA-PBE).

POSCAR file:
```
TeAsIrN2
1.0
3.6776 0.0000 0.0000
0.0000 3.6776 0.0000
0.0000 0.0000 8.4118
Ir N As Te
1 2 1 1
direct
0.5000 0.5000 0.5000
0.0000 0.5000 0.0000
0.5000 0.0000 0.0000
0.0000 0.0000 0.0000
0.0000 0.0000 0.5000
```

Final energy: -0.188 Ha/atom
Energy relative to the lowest polymorph listed for this composition: 58.9 kJ/mol of atoms
Crystal system: tetragonal
Density: 6.17 g/cm³
E_form (uncorrected): 1.547 eV/atom
Volume: 22.8 Å³/atom

***

Record 3
Entry from Alexandria via LeMat-Bulk: crystalline InCo2RhC at its relaxed geometry (GGA-PBE).

POSCAR file:
```
InCo2RhC
1.0
3.8564 0.0000 0.0000
0.0000 3.8564 0.0000
0.0000 0.0000 4.1177
In Rh C Co
1 1 1 2
direct
0.5000 0.5000 0.5000
0.0000 0.0000 0.5000
0.0000 0.0000 0.0000
0.5000 0.0000 0.0000
0.0000 0.5000 0.0000
```

Final energy: -0.247 Ha/atom
Crystal system: tetragonal
Density: 9.43 g/cm³
DFT formation energy: -0.02 eV/atom
Volume: 12.2 Å³/atom

***

Record 4
Entry from Alexandria via LeMat-Bulk: crystalline Tm3Mg2Cu3 at its relaxed geometry (GGA-PBE).

POSCAR file:
```
Tm3Mg2Cu3
1.0
3.3378 0.0000 0.0000
0.0000 4.9490 0.0000
-1.6689 -2.4745 9.9995
Tm Cu Mg
3 3 2
direct
0.3803 0.3803 0.7607
0.6197 0.6197 0.2393
0.5000 0.0000 0.0000
0.0000 0.5000 0.0000
0.1195 0.1195 0.2391
0.8805 0.8805 0.7609
0.2704 0.7704 0.5407
0.7296 0.2296 0.4593
```

Final energy: -0.140 Ha/atom
Energy relative to the lowest polymorph listed for this composition: 3.6 kJ/mol of atoms
Crystal system: orthorhombic
Density: 7.50 g/cm³
DFT formation energy: -0.19 eV/atom
Volume: 20.6 Å³/atom

***

Record 5
Entry from Alexandria via LeMat-Bulk: crystalline Pm3TlSn3 at its relaxed geometry (GGA-PBE).

POSCAR file:
```
Pm3TlSn3
1.0
5.5468 0.0000 0.0000
0.0000 9.1180 0.0000
0.0000 -4.5590 7.8965
Pm Sn Tl
6 6 2
direct
0.7500 0.9060 0.3463
0.2500 0.5597 0.9060
0.2500 0.0940 0.6537
0.2500 0.3463 0.4403
0.7500 0.6537 0.5597
0.7500 0.4403 0.0940
0.7500 0.0495 0.8159
0.7500 0.7664 0.9505
0.2500 0.2336 0.0495
0.7500 0.1841 0.2336
0.2500 0.9505 0.1841
0.2500 0.8159 0.7664
0.7500 0.3333 0.6667
0.2500 0.6667 0.3333
```

Final energy: -0.166 Ha/atom
Crystal system: hexagonal
Density: 8.28 g/cm³
DFT formation energy: -0.42 eV/atom
Volume: 28.5 Å³/atom

***

Record 6
Entry from Alexandria via LeMat-Bulk: crystalline Mg6Tl8Pb at its relaxed geometry (GGA-PBE).

POSCAR file:
```
Mg6Tl8Pb
1.0
-6.8037 -4.9809 -0.4724
-1.7281 -4.1193 -7.1671
0.9241 -8.3860 -0.3786
Tl Mg Pb
8 6 1
direct
0.2935 0.7065 0.7065
0.2935 0.7065 0.2935
0.7065 0.2935 0.7065
0.2935 0.2935 0.7065
0.2500 0.2500 0.2500
0.7500 0.7500 0.7500
0.7065 0.7065 0.2935
0.7065 0.2935 0.2935
0.5000 0.5000 0.0000
0.0000 0.5000 0.0000
0.5000 0.0000 0.0000
0.5000 0.0000 0.5000
0.0000 0.0000 0.5000
0.0000 0.5000 0.5000
0.0000 0.0000 0.0000
```

Final energy: -0.074 Ha/atom
Energy relative to the lowest polymorph listed for this composition: 10.0 kJ/mol of atoms
Crystal system: cubic
Density: 7.75 g/cm³
DFT formation energy: 0.12 eV/atom
Volume: 28.4 Å³/atom

***

Record 7
Entry from Alexandria via LeMat-Bulk: crystalline BaFeN2 at its relaxed geometry (GGA-PBE).

POSCAR file:
```
BaFeN2
1.0
-0.0230 -4.1258 1.1634
-3.5893 -2.3133 -0.3772
-0.2699 -3.0667 -2.9832
N Ba Fe
2 1 1
direct
0.7500 0.7500 0.7500
0.2500 0.2500 0.2500
0.5000 0.5000 0.5000
0.0000 0.0000 0.0000
```

Final energy: -0.197 Ha/atom
Crystal system: cubic
Density: 6.59 g/cm³
E_form (uncorrected): 1.404 eV/atom
Volume: 13.9 Å³/atom

***

Record 8
Entry from Alexandria via LeMat-Bulk: crystalline BeCuPS2 at its relaxed geometry (GGA-PBE).

POSCAR file:
```
BeCuPS2
1.0
4.4184 0.0000 0.0000
0.0000 4.4184 0.0000
0.0000 0.0000 4.0685
P S Be Cu
1 2 1 1
direct
0.0000 0.0000 0.5000
0.0000 0.5000 0.0000
0.5000 0.0000 0.0000
0.0000 0.0000 0.0000
0.5000 0.5000 0.5000
```

Final energy: -0.134 Ha/atom
Energy relative to the lowest polymorph listed for this composition: 0.0 kJ/mol of atoms
Crystal system: tetragonal
Density: 3.51 g/cm³
E_form (uncorrected): 0.657 eV/atom
Volume: 15.9 Å³/atom

***

Record 9
Entry from Alexandria via LeMat-Bulk: crystalline TaBeGa2Tc at its relaxed geometry (GGA-PBE).

POSCAR file:
```
TaBeGa2Tc
1.0
4.2320 0.0000 0.0000
0.0000 4.1674 0.0000
0.0000 0.0000 4.2320
Be Ta Ga Tc
1 1 2 1
direct
0.0000 0.0000 0.0000
0.5000 0.5000 0.5000
0.5000 0.0000 0.0000
0.0000 0.0000 0.5000
0.0000 0.5000 0.0000
```

Final energy: -0.216 Ha/atom
Crystal system: tetragonal
Density: 9.51 g/cm³
DFT formation energy: 0.53 eV/atom
Volume: 14.9 Å³/atom

***

Record 10
Entry from Alexandria via LeMat-Bulk: crystalline SrYOs2 at its relaxed geometry (GGA-PBE).

POSCAR file:
```
SrYOs2
1.0
3.1156 0.1473 0.0000
-0.1468 3.1156 0.0000
0.0000 0.0000 9.4289
Y Sr Os
1 1 2
direct
0.5000 0.5000 0.8219
0.0000 0.0000 0.4432
0.5000 0.5000 0.1929
0.0000 0.0000 0.0419
```

Final energy: -0.267 Ha/atom
Energy relative to the lowest polymorph listed for this composition: 24.0 kJ/mol of atoms
Crystal system: tetragonal
Density: 10.08 g/cm³
DFT formation energy: 0.39 eV/atom
Volume: 22.9 Å³/atom

***

Record 11
Entry from Alexandria via LeMat-Bulk: crystalline HfGeBiIr2N at its relaxed geometry (GGA-PBE).

POSCAR file:
```
HfGeBiIr2N
1.0
-3.5647 3.0510 1.7016
-2.7687 -4.4504 1.3788
4.6911 0.6380 2.3645
Ir Hf Bi Ge N
2 1 1 1 1
direct
0.1489 0.0727 0.3165
0.6452 0.1262 0.8478
0.2161 0.4862 0.1473
0.9721 0.7487 0.6596
0.6601 0.1446 0.3415
0.3120 0.3212 0.7903
```

Final energy: -0.276 Ha/atom
Energy relative to the lowest polymorph listed for this composition: 39.6 kJ/mol of atoms
Crystal system: triclinic
Density: 12.63 g/cm³
E_form (uncorrected): -0.083 eV/atom
Volume: 18.8 Å³/atom

***

Record 12
Entry from Alexandria via LeMat-Bulk: crystalline Co3P2 at its relaxed geometry (GGA-PBE).

POSCAR file:
```
Co3P2
1.0
4.9210 -1.8257 0.0079
4.9210 1.8257 0.0079
4.2387 0.0000 3.0956
P Co
2 3
direct
0.5900 0.5900 0.5900
0.4100 0.4100 0.4100
0.7762 0.7762 0.7762
0.0000 0.0000 0.0000
0.2238 0.2238 0.2238
```

Final energy: -0.247 Ha/atom
Crystal system: trigonal
Density: 7.14 g/cm³
DFT formation energy: -0.30 eV/atom
Volume: 11.1 Å³/atom